1.
First-principles (GGA-PBE) data for a relaxed TcTeN2O crystal, as listed in Alexandria via LeMat-Bulk.

Structure (POSCAR):
```
TcTeN2O
1.0
4.059 0.000 0.000
0.000 4.059 0.000
0.000 0.000 3.810
Te Tc O N
1 1 1 2
Direct
0.500 0.500 0.500 Te
0.000 0.000 0.000 Tc
0.000 0.000 0.500 O
0.000 0.500 0.000 N
0.500 0.000 0.000 N
```

## Properties
Electronic total energy in Ry per atom: -0.478
Spin magnetization in Bohr magnetons per cell: 0.7
E_form (uncorrected) in eV/atom: 0.5212

2.
First-principles (GGA-PBE) data for a relaxed Cr2GePd crystal, as listed in Alexandria via LeMat-Bulk.

Structure (POSCAR):
```
Cr2GePd
1.0
-4.814 2.188 -4.321
-1.725 -6.468 -1.354
-4.923 -2.090 -0.970
Cr Ge Pd
4 2 2
Direct
0.610 0.125 0.250 Cr
0.140 0.625 0.250 Cr
0.375 0.390 0.750 Cr
0.875 0.860 0.750 Cr
0.500 0.500 0.000 Ge
0.250 0.750 0.500 Ge
0.000 0.000 0.000 Pd
0.750 0.250 0.500 Pd
```

## Properties
Electronic total energy in Ry per atom: -0.494
Spin magnetization in Bohr magnetons per cell: 0.0

3.
First-principles (GGA-PBE) data for a relaxed AlAgSbF2 crystal, as listed in Alexandria via LeMat-Bulk.

Structure (POSCAR):
```
AlAgSbF2
1.0
-2.510 2.961 1.919
1.704 -1.840 5.069
3.279 2.828 -0.075
Sb Al Ag F
1 1 1 2
Direct
0.000 0.000 0.000 Sb
0.500 0.500 0.500 Al
0.000 0.500 0.000 Ag
0.000 0.000 0.500 F
0.500 0.000 0.000 F
```

## Properties
Electronic total energy in Ry per atom: -0.276
Spin magnetization in Bohr magnetons per cell: 0.0
E_form (uncorrected) in eV/atom: -0.8690

4.
First-principles (GGA-PBE) data for a relaxed MgCuIrRh2 crystal, as listed in Alexandria via LeMat-Bulk.

Structure (POSCAR):
```
MgCuIrRh2
1.0
-3.177 0.880 2.984
1.169 -3.706 2.338
2.892 2.407 2.369
Mg Ir Rh Cu
1 1 2 1
Direct
0.000 0.000 0.000 Mg
0.000 0.500 0.000 Ir
0.000 0.000 0.500 Rh
0.500 0.000 0.000 Rh
0.500 0.500 0.500 Cu
```

## Properties
Electronic total energy in Ry per atom: -0.324
Spin magnetization in Bohr magnetons per cell: 0.0

5.
First-principles (GGA-PBE) data for a relaxed CdNi3Bi crystal, as listed in Alexandria via LeMat-Bulk.

Structure (POSCAR):
```
CdNi3Bi
1.0
-0.512 3.476 -3.238
-3.415 1.994 2.681
3.302 2.601 2.271
Ni Bi Cd
3 1 1
Direct
0.000 0.500 0.000 Ni
0.000 0.000 0.500 Ni
0.500 0.000 0.000 Ni
0.000 0.000 0.000 Bi
0.500 0.500 0.500 Cd
```

## Properties
Electronic total energy in Ry per atom: -0.256
Spin magnetization in Bohr magnetons per cell: 0.0
Relative energy among the computed polymorphs in eV/f.u.: 0.000

6.
First-principles (GGA-PBE) data for a relaxed V2Mo3Ru crystal, as listed in Alexandria via LeMat-Bulk.

Structure (POSCAR):
```
V2Mo3Ru
1.0
-1.171 -4.198 -0.216
10.654 -0.471 -4.515
-0.851 0.018 4.261
V Mo Ru
4 6 2
Direct
0.541 0.082 0.873 V
0.459 0.918 0.127 V
0.791 0.582 0.124 V
0.209 0.418 0.876 V
0.290 0.580 0.620 Mo
0.960 0.919 0.629 Mo
0.625 0.250 0.625 Mo
0.375 0.750 0.375 Mo
0.040 0.081 0.371 Mo
0.710 0.420 0.380 Mo
0.875 0.750 0.875 Ru
0.125 0.250 0.125 Ru
```

## Properties
Electronic total energy in Ry per atom: -0.743
Spin magnetization in Bohr magnetons per cell: 0.0

7.
First-principles (GGA-PBE) data for a relaxed ErAgHgBi crystal, as listed in Alexandria via LeMat-Bulk.

Structure (POSCAR):
```
ErAgHgBi
1.0
-2.605 3.214 3.173
-1.861 -1.762 4.540
2.161 1.555 4.483
Er Bi Ag Hg
1 1 1 1
Direct
0.750 0.750 0.750 Er
0.500 0.500 0.500 Bi
0.250 0.250 0.250 Ag
0.000 0.000 0.000 Hg
```

## Properties
Electronic total energy in Ry per atom: -0.229
Spin magnetization in Bohr magnetons per cell: 0.0

8.
First-principles (GGA-PBE) data for a relaxed CsPb2Au crystal, as listed in Alexandria via LeMat-Bulk.

Structure (POSCAR):
```
CsPb2Au
1.0
5.931 0.000 0.000
0.000 5.931 0.000
2.965 2.965 10.236
Pb Cs Au
4 2 2
Direct
0.834 0.125 0.250 Pb
0.916 0.625 0.250 Pb
0.375 0.166 0.750 Pb
0.875 0.084 0.750 Pb
0.500 0.500 0.000 Cs
0.250 0.750 0.500 Cs
0.000 0.000 0.000 Au
0.750 0.250 0.500 Au
```

## Properties
Electronic total energy in Ry per atom: -0.211
Spin magnetization in Bohr magnetons per cell: 0.0

9.
First-principles (GGA-PBE) data for a relaxed YHf2Cd crystal, as listed in Alexandria via LeMat-Bulk.

Structure (POSCAR):
```
YHf2Cd
1.0
8.270 0.000 0.000
0.000 8.270 0.000
4.135 4.135 2.993
Y Hf Cd
2 4 2
Direct
0.500 0.500 0.000 Y
0.250 0.750 0.500 Y
0.655 0.125 0.250 Hf
0.095 0.625 0.250 Hf
0.375 0.345 0.750 Hf
0.875 0.905 0.750 Hf
0.000 0.000 0.000 Cd
0.750 0.250 0.500 Cd
```

## Properties
Electronic total energy in Ry per atom: -0.464
Spin magnetization in Bohr magnetons per cell: 0.0

10.
First-principles (GGA-PBE) data for a relaxed Na3P2Pt crystal, as listed in Alexandria via LeMat-Bulk.

Structure (POSCAR):
```
Na3P2Pt
1.0
-6.207 -3.515 -0.800
4.326 -7.408 -1.020
0.826 -0.728 8.792
Na P Pt
12 8 4
Direct
0.276 0.889 0.021 Na
0.224 0.389 0.479 Na
0.724 0.111 0.979 Na
0.776 0.611 0.521 Na
0.502 0.483 0.191 Na
0.998 0.983 0.309 Na
0.498 0.517 0.809 Na
0.002 0.017 0.691 Na
0.996 0.606 0.177 Na
0.504 0.106 0.323 Na
0.004 0.394 0.823 Na
0.496 0.894 0.677 Na
0.648 0.802 0.237 P
0.852 0.302 0.263 P
0.352 0.198 0.763 P
0.148 0.698 0.737 P
0.152 0.731 0.492 P
0.348 0.231 0.008 P
0.848 0.269 0.508 P
0.652 0.769 0.992 P
0.397 0.760 0.360 Pt
0.103 0.260 0.140 Pt
0.603 0.240 0.640 Pt
0.897 0.740 0.860 Pt
```

## Properties
Electronic total energy in Ry per atom: -0.287
Spin magnetization in Bohr magnetons per cell: 0.0
Relative energy among the computed polymorphs in eV/f.u.: 0.000

11.
First-principles (GGA-PBE) data for a relaxed Ce4PuIr4 crystal, as listed in Alexandria via LeMat-Bulk.

Structure (POSCAR):
```
Ce4PuIr4
1.0
5.712 0.000 0.000
0.000 8.844 0.000
0.000 0.000 8.844
Ce Pu Ir
8 2 8
Direct
0.418 0.310 0.913 Ce
0.918 0.587 0.810 Ce
0.418 0.690 0.087 Ce
0.082 0.190 0.587 Ce
0.582 0.913 0.690 Ce
0.082 0.810 0.413 Ce
0.918 0.413 0.190 Ce
0.582 0.087 0.310 Ce
0.000 0.000 0.000 Pu
0.500 0.500 0.500 Pu
0.588 0.784 0.379 Ir
0.588 0.216 0.621 Ir
0.088 0.879 0.716 Ir
0.912 0.284 0.879 Ir
0.912 0.716 0.121 Ir
0.412 0.379 0.216 Ir
0.412 0.621 0.784 Ir
0.088 0.121 0.284 Ir
```

## Properties
Electronic total energy in Ry per atom: -0.644
Spin magnetization in Bohr magnetons per cell: 14.1

12.
First-principles (GGA-PBE) data for a relaxed Be2InCu crystal, as listed in Alexandria via LeMat-Bulk.

Structure (POSCAR):
```
Be2InCu
1.0
-2.101 2.030 -7.468
-4.276 0.284 -6.778
-4.353 3.050 -6.004
Be Cu In
2 1 1
Direct
0.989 0.989 0.989 Be
0.511 0.511 0.511 Be
0.250 0.250 0.250 Cu
0.750 0.750 0.750 In
```

## Properties
Electronic total energy in Ry per atom: -0.227
Spin magnetization in Bohr magnetons per cell: 0.0

Question: Which of these has the lowest electronic total energy?
Answer: V2Mo3Ru

Please write out number 9 again, unchanged.
First-principles (GGA-PBE) data for a relaxed YHf2Cd crystal, as listed in Alexandria via LeMat-Bulk.

Structure (POSCAR):
```
YHf2Cd
1.0
8.270 0.000 0.000
0.000 8.270 0.000
4.135 4.135 2.993
Y Hf Cd
2 4 2
Direct
0.500 0.500 0.000 Y
0.250 0.750 0.500 Y
0.655 0.125 0.250 Hf
0.095 0.625 0.250 Hf
0.375 0.345 0.750 Hf
0.875 0.905 0.750 Hf
0.000 0.000 0.000 Cd
0.750 0.250 0.500 Cd
```

## Properties
Electronic total energy in Ry per atom: -0.464
Spin magnetization in Bohr magnetons per cell: 0.0

Question: Number 11 is which compound?
Answer: Ce4PuIr4

Question: Which value of spin magnetization does entry 2 give?
Answer: 0.0 Bohr magnetons per cell